Entry 1:
## GdZnGaIr (PBE-GGA)

Data for a relaxed GdZnGaIr crystal.

Structure (POSCAR):
```
GdZnGaIr
1.0
0.0000 3.2683 3.2683
3.2683 0.0000 3.2683
3.2683 3.2683 0.0000
Gd Zn Ga Ir
1 1 1 1
Direct
0.0000 0.0000 0.0000 Gd
0.7500 0.7500 0.7500 Zn
0.2500 0.2500 0.2500 Ga
0.5000 0.5000 0.5000 Ir
```

Values from the calculation:
density of states at the Fermi level	3.21	states/eV per cell
space group	F-43m, No. 216
raw total energy	-7.28	eV/atom
mass density	11.525	g/cm3
calculated formation energy	-0.466	eV/atom

=====

Entry 2:
## GdZrGaIr (PBE-GGA)

Data for a relaxed GdZrGaIr crystal.

Structure (POSCAR):
```
GdZrGaIr
1.0
0.0000 3.4394 3.4394
3.4394 0.0000 3.4394
3.4394 3.4394 0.0000
Gd Zr Ga Ir
1 1 1 1
Direct
0.0000 0.0000 0.0000 Gd
0.5000 0.5000 0.5000 Zr
0.2500 0.2500 0.2500 Ga
0.7500 0.7500 0.7500 Ir
```

Values from the calculation:
density of states at the Fermi level	3.09	states/eV per cell
space group	F-43m, No. 216
raw total energy	-9.15	eV/atom
mass density	10.416	g/cm3
calculated formation energy	-0.524	eV/atom